! AcCe2Sn | the Alexandria database | PBE | optimized geometry; values from VASP
! E_tot in eV per atom: -5.10
! Size of the total moment in Bohr magnetons per cell: 2.572
! Formation energy in eV/atom: -0.109
! DOS at the Fermi energy in states/eV per cell: 14.49
&SYSTEM
  ibrav = 0, nat = 4, ntyp = 3
/
ATOMIC_SPECIES
Ac 227.00 Ac.upf
Ce 140.12 Ce.upf
Sn 118.71 Sn.upf
CELL_PARAMETERS angstrom
0.0000 3.9584 3.9584
3.9584 0.0000 3.9584
3.9584 3.9584 0.0000
ATOMIC_POSITIONS crystal
Ac 0.0000 0.0000 0.0000
Ce 0.2500 0.2500 0.2500
Ce 0.7500 0.7500 0.7500
Sn 0.5000 0.5000 0.5000